# Zr6FeSb2 (meta-GGA SCAN, PBEsol geometry)
# Raw formation energy: -0.569 eV/atom
# Symmetry: P-62m, No. 189
data_Zr6FeSb2
_cell_length_a 7.7348
_cell_length_b 7.7348
_cell_length_c 3.5628
_cell_angle_alpha 90.00
_cell_angle_beta 90.00
_cell_angle_gamma 120.00
_symmetry_space_group_name_H-M 'P 1'
_symmetry_Int_Tables_number 1
_symmetry_space_group_name_Hall 'P 1'
loop_
_atom_site_label
_atom_site_type_symbol
_atom_site_fract_x
_atom_site_fract_y
_atom_site_fract_z
Zr1 Zr 0.0000 0.4008 0.0000
Zr2 Zr 0.0000 0.7597 0.5000
Zr3 Zr 0.2403 0.2403 0.5000
Zr4 Zr 0.4008 0.0000 0.0000
Zr5 Zr 0.5992 0.5992 0.0000
Zr6 Zr 0.7597 0.0000 0.5000
Fe1 Fe 0.0000 0.0000 0.0000
Sb1 Sb 0.3333 0.6667 0.5000
Sb2 Sb 0.6667 0.3333 0.5000